Ni2BAuSe | PBE | relaxed

a = 4.775 Å, b = 4.775 Å, c = 4.884 Å
α = 90.00°, β = 90.00°, γ = 90.00°
Space group P4/mmm (No. 123)
Inequivalent atoms, fractional coordinates:
Ni  0.000  0.500  0.000 [2 per cell]
B  0.000  0.000  0.500 [1 per cell]
Au  0.500  0.500  0.000 [1 per cell]
Se  0.500  0.500  0.500 [1 per cell]

Uncorrected energy ... -15.84 eV/cell
Total magnetization ... 1.2 μB per cell
Uncorrected formation energy ... 42.266 kcal/mol of atoms
V ... 22.3 A^3/atom


SbTeHI2 | PBE | relaxed

a = 6.100 Å, b = 6.100 Å, c = 5.739 Å
α = 90.00°, β = 90.00°, γ = 90.00°
Space group P4/mmm (No. 123)
Inequivalent atoms, fractional coordinates:
Sb  0.000  0.000  0.000 [1 per cell]
Te  0.000  0.000  0.500 [1 per cell]
H  0.500  0.500  0.500 [1 per cell]
I  0.000  0.500  0.000 [2 per cell]

Uncorrected energy ... -11.00 eV/cell
Total magnetization ... 1.4 μB per cell
V ... 42.7 A^3/atom


KBa2Ta | PBE | relaxed

a = 3.567 Å, b = 3.567 Å, c = 12.923 Å
α = 90.00°, β = 90.00°, γ = 90.00°
Space group P4mm (No. 99)
Inequivalent atoms, fractional coordinates:
K  0.000  0.000  0.000 [1 per cell]
Ba  0.000  0.000  0.403 [1 per cell]
Ba  0.500  0.500  0.691 [1 per cell]
Ta  0.500  0.500  0.223 [1 per cell]

Uncorrected energy ... -12.60 eV/cell
Total magnetization ... 0.1 μB per cell
ΔH_f (0 K) ... 1050 meV per atom
V ... 41.1 A^3/atom


Cs2CaI7 | PBE | relaxed

a = 8.795 Å, b = 8.795 Å, c = 14.075 Å
α = 90.00°, β = 90.00°, γ = 90.00°
Space group I4/mmm (No. 139)
Inequivalent atoms, fractional coordinates:
Cs  0.000  0.500  0.250 [4 per cell]
Ca  0.000  0.000  0.000 [2 per cell]
I  0.000  0.000  0.216 [4 per cell]
I  0.000  0.000  0.500 [2 per cell]
I  0.247  0.247  0.500 [8 per cell]

Uncorrected energy ... -48.02 eV/cell
Total magnetization ... 0.0 μB per cell
Uncorrected formation energy ... -21.792 kcal/mol of atoms
V ... 54.4 A^3/atom


Mg2SN | PBE | relaxed

a = 5.645 Å, b = 5.645 Å, c = 8.721 Å
α = 90.00°, β = 90.00°, γ = 90.00°
Space group I-42d (No. 122)
Inequivalent atoms, fractional coordinates:
Mg  0.187  0.250  0.125 [8 per cell]
S  0.000  0.000  0.500 [4 per cell]
N  0.000  0.000  0.000 [4 per cell]

Uncorrected energy ... -71.84 eV/cell
Total magnetization ... 4.0 μB per cell
Uncorrected formation energy ... -13.360 kcal/mol of atoms
V ... 17.4 A^3/atom


Cs2CdClO | PBE | relaxed

a = 6.268 Å, b = 6.268 Å, c = 4.458 Å
α = 90.00°, β = 90.00°, γ = 90.00°
Space group P4/mmm (No. 123)
Inequivalent atoms, fractional coordinates:
Cs  0.000  0.500  0.000 [2 per cell]
Cd  0.000  0.000  0.500 [1 per cell]
Cl  0.500  0.500  0.500 [1 per cell]
O  0.000  0.000  0.000 [1 per cell]

Uncorrected energy ... -15.20 eV/cell
Total magnetization ... 0.0 μB per cell
Uncorrected formation energy ... -26.632 kcal/mol of atoms
V ... 35.0 A^3/atom


NpIn2Pd | PBE | relaxed

a = 3.201 Å, b = 3.201 Å, c = 8.334 Å
α = 90.00°, β = 90.00°, γ = 90.00°
Space group P4/mmm (No. 123)
Inequivalent atoms, fractional coordinates:
Np  0.000  0.000  0.000 [1 per cell]
In  0.500  0.500  0.291 [2 per cell]
Pd  0.000  0.000  0.500 [1 per cell]

Uncorrected energy ... -24.33 eV/cell
Total magnetization ... 4.4 μB per cell
ΔH_f (0 K) ... -179 meV per atom
V ... 21.3 A^3/atom


LaLu3Pt | PBE | relaxed

a = 5.398 Å, b = 5.398 Å, c = 5.398 Å
α = 90.00°, β = 90.00°, γ = 90.00°
Space group Pm-3m (No. 221)
Inequivalent atoms, fractional coordinates:
La  0.000  0.000  0.000 [1 per cell]
Lu  0.000  0.500  0.500 [3 per cell]
Pt  0.500  0.500  0.500 [1 per cell]

Uncorrected energy ... -26.84 eV/cell
Total magnetization ... 0.0 μB per cell
ΔH_f (0 K) ... -461 meV per atom
V ... 31.5 A^3/atom


LiBOF2 | PBE | relaxed

a = 3.375 Å, b = 3.375 Å, c = 4.229 Å
α = 90.00°, β = 90.00°, γ = 90.00°
Space group P4/mmm (No. 123)
Inequivalent atoms, fractional coordinates:
Li  0.000  0.000  0.000 [1 per cell]
B  0.500  0.500  0.500 [1 per cell]
O  0.000  0.000  0.500 [1 per cell]
F  0.000  0.500  0.000 [2 per cell]

Uncorrected energy ... -17.67 eV/cell
Total magnetization ... 0.9 μB per cell
Uncorrected formation energy ... -1.724 kcal/mol of atoms
V ... 9.6 A^3/atom


AcMg3P3 | PBE | relaxed

a = 7.4969 Å, b = 7.4969 Å, c = 21.7410 Å
α = 90.00°, β = 90.00°, γ = 120.00°
Space group R-3 (No. 148, hexagonal axes)
Inequivalent atoms, fractional coordinates:
Ac  0.0000  0.0000  0.1668 [6 per cell]
Mg  0.0075  0.3170  0.6225 [18 per cell]
P  0.0042  0.3520  0.4111 [18 per cell]

Uncorrected energy ... -187.48 eV/cell
Total magnetization ... 0.0 μB per cell
ΔH_f (0 K) ... -875 meV per atom
V ... 25.2 A^3/atom


Nd3SiTeCl | PBE | relaxed

a = 8.927 Å, b = 4.291 Å, c = 9.993 Å
α = 90.00°, β = 93.96°, γ = 90.00°
Space group P2_1/m (No. 11)
Inequivalent atoms, fractional coordinates:
Nd  0.100  0.250  0.351 [2 per cell]
Nd  0.168  0.250  0.932 [2 per cell]
Nd  0.363  0.750  0.642 [2 per cell]
Si  0.133  0.250  0.648 [2 per cell]
Te  0.365  0.750  0.320 [2 per cell]
Cl  0.369  0.750  0.931 [2 per cell]

Uncorrected energy ... -63.16 eV/cell
Total magnetization ... 2.3 μB per cell
Uncorrected formation energy ... -26.381 kcal/mol of atoms
V ... 31.8 A^3/atom


RbSr2HoBr8 | PBE | relaxed

a = 6.900 Å, b = 7.187 Å, c = 9.534 Å
α = 89.99°, β = 89.96°, γ = 89.77°
Space group P-1 (No. 2)
Inequivalent atoms, fractional coordinates:
Rb  0.000  0.000  0.000 [1 per cell]
Sr  0.500  0.500  0.251 [2 per cell]
Ho  0.000  0.000  0.500 [1 per cell]
Br  0.233  0.843  0.707 [2 per cell]
Br  0.234  0.843  0.293 [2 per cell]
Br  0.249  0.321  0.500 [2 per cell]
Br  0.265  0.379  0.000 [2 per cell]

Uncorrected energy ... -45.71 eV/cell
Total magnetization ... 0.0 μB per cell
Uncorrected formation energy ... -45.002 kcal/mol of atoms
V ... 39.4 A^3/atom


CeInBr6 | PBE | relaxed

a = 7.0425 Å, b = 7.0425 Å, c = 19.3365 Å
α = 90.00°, β = 90.00°, γ = 120.00°
Space group R-3 (No. 148, hexagonal axes)
Inequivalent atoms, fractional coordinates:
Ce  0.0000  0.0000  0.0000 [3 per cell]
In  0.0000  0.0000  0.5000 [3 per cell]
Br  0.0003  0.3209  0.4188 [18 per cell]

Uncorrected energy ... -85.97 eV/cell
Total magnetization ... 3.1 μB per cell
Uncorrected formation energy ... -28.670 kcal/mol of atoms
V ... 34.6 A^3/atom


NaDy2TaO6 | PBE | relaxed

a = 5.6763 Å, b = 5.6763 Å, c = 15.0633 Å
α = 90.00°, β = 90.00°, γ = 120.00°
Space group R3 (No. 146, hexagonal axes)
Inequivalent atoms, fractional coordinates:
Na  0.0000  0.0000  0.0000 [3 per cell]
Dy  0.0000  0.0000  0.2743 [3 per cell]
Dy  0.0000  0.0000  0.7779 [3 per cell]
Ta  0.0000  0.0000  0.4805 [3 per cell]
O  0.0146  0.3734  0.2093 [9 per cell]
O  0.0181  0.7389  0.3886 [9 per cell]

Uncorrected energy ... -249.15 eV/cell
Total magnetization ... 0.0 μB per cell
Uncorrected formation energy ... -71.315 kcal/mol of atoms
V ... 14.0 A^3/atom


CaPaP2Ir5 | PBE | relaxed

a = 3.996 Å, b = 3.996 Å, c = 11.334 Å
α = 90.00°, β = 90.00°, γ = 90.00°
Space group P4/mmm (No. 123)
Inequivalent atoms, fractional coordinates:
Ca  0.000  0.000  0.000 [1 per cell]
Pa  0.000  0.000  0.500 [1 per cell]
P  0.500  0.500  0.297 [2 per cell]
Ir  0.000  0.500  0.206 [4 per cell]
Ir  0.500  0.500  0.500 [1 per cell]

Uncorrected energy ... -70.17 eV/cell
Total magnetization ... 0.4 μB per cell
ΔH_f (0 K) ... -394 meV per atom
V ... 20.1 A^3/atom


Sr2TaCl | PBE | relaxed

a = 8.124 Å, b = 8.124 Å, c = 8.124 Å
α = 90.00°, β = 90.00°, γ = 90.00°
Space group Fm-3m (No. 225)
Inequivalent atoms, fractional coordinates:
Sr  0.250  0.250  0.250 [8 per cell]
Ta  0.000  0.000  0.000 [4 per cell]
Cl  0.000  0.000  0.500 [4 per cell]

Uncorrected energy ... -60.73 eV/cell
Total magnetization ... 23.4 μB per cell
Uncorrected formation energy ... 10.838 kcal/mol of atoms
V ... 33.5 A^3/atom


Ac4CoRhCl2 | PBE | relaxed

a = 7.383 Å, b = 4.252 Å, c = 8.357 Å
α = 90.00°, β = 106.84°, γ = 90.00°
Space group P2/m (No. 10)
Inequivalent atoms, fractional coordinates:
Ac  0.226  0.000  0.199 [2 per cell]
Ac  0.261  0.500  0.798 [2 per cell]
Co  0.000  0.500  0.000 [1 per cell]
Rh  0.500  0.000  0.000 [1 per cell]
Cl  0.000  0.000  0.500 [1 per cell]
Cl  0.500  0.500  0.500 [1 per cell]

Uncorrected energy ... -43.02 eV/cell
Total magnetization ... 0.0 μB per cell
Uncorrected formation energy ... -24.319 kcal/mol of atoms
V ... 31.4 A^3/atom